{"formula": "Ta2RuPb", "functional": "GGA-PBEsol", "state": "relaxed", "cell": [[5.674, 0.000, 0.000], [0.000, 8.241, 0.000], [0.000, 0.000, 3.011]], "species": ["Ta", "Ta", "Ta", "Ta", "Ru", "Ru", "Pb", "Pb"], "fractional_positions": [[0.250, 0.250, 0.000], [0.250, 0.750, 0.000], [0.750, 0.250, 0.000], [0.750, 0.750, 0.000], [0.000, 0.000, 0.500], [0.500, 0.500, 0.500], [0.000, 0.500, 0.500], [0.500, 0.000, 0.500]], "ef_ev_per_atom": 0.348, "dos_at_fermi_per_ev_atom": 0.7538, "crystal_system": "orthorhombic", "total_magnetization_mub_per_fu": 0.0, "final_energy_ev_per_cell": -75.77}